Record 1
Computed, not measured: an optimized crystal structure of Sc3HI at the PBE-GGA level of DFT.

Computed properties:
energy	-4.874	eV per atom
total moment	0.00	μB/f.u.

abc: 4.5124 4.5124 4.5124
angles: 90.00 90.00 90.00
Space group Pm-3m (No. 221)
Asymmetric unit:
Sc 0.0000 0.0000 0.5000 (multiplicity 3)
H 0.0000 0.0000 0.0000 (multiplicity 1)
I 0.5000 0.5000 0.5000 (multiplicity 1)

Record 2
Computed, not measured: an optimized crystal structure of Sc7HI12 at the PBE-GGA level of DFT.

Computed properties:
energy	-4.295	eV per atom
total moment	4.73	μB/f.u.

abc: 15.0236 15.0236 10.0185
angles: 90.00 90.00 120.00
Space group R-3 (No. 148, hexagonal axes)
Asymmetric unit:
Sc 0.0000 0.0000 0.0000 (multiplicity 3)
Sc 0.0414 0.1454 0.3677 (multiplicity 18)
H 0.0000 0.0000 0.5000 (multiplicity 3)
I 0.0288 0.5877 0.1646 (multiplicity 18)
I 0.0516 0.1781 0.8305 (multiplicity 18)

Record 3
Computed, not measured: an optimized crystal structure of Sc2HI at the PBE-GGA level of DFT.

Computed properties:
energy	-4.796	eV per atom
total moment	0.00	μB/f.u.

abc: 6.7849 6.7849 6.4361
angles: 90.00 90.00 90.00
Space group I-42d (No. 122)
Asymmetric unit:
Sc 0.1307 0.2500 0.1250 (multiplicity 8)
H 0.0000 0.0000 0.0000 (multiplicity 4)
I 0.0000 0.0000 0.5000 (multiplicity 4)

Record 4
Computed, not measured: an optimized crystal structure of Sc4HI5 at the PBE-GGA level of DFT.

Computed properties:
energy	-4.489	eV per atom
total moment	0.75	μB/f.u.

abc: 19.3921 3.8179 8.2452
angles: 90.00 102.28 90.00
Space group C2/m (No. 12)
Asymmetric unit:
Sc 0.0001 0.0000 0.2006 (multiplicity 4)
Sc 0.1072 0.5000 0.0536 (multiplicity 4)
H 0.0000 0.5000 0.0000 (multiplicity 2)
I 0.0000 0.5000 0.5000 (multiplicity 2)
I 0.1562 0.0000 0.3232 (multiplicity 4)
I 0.1563 0.0000 0.8327 (multiplicity 4)

Record 5
Computed, not measured: an optimized crystal structure of ScH2I at the PBE-GGA level of DFT.

Computed properties:
energy	-3.348	eV per atom
total moment	0.00	μB/f.u.

abc: 6.1892 6.1892 6.1892
angles: 90.00 90.00 90.00
Space group Fm-3m (No. 225)
Asymmetric unit:
Sc 0.0000 0.0000 0.0000 (multiplicity 4)
H 0.2500 0.2500 0.2500 (multiplicity 8)
I 0.0000 0.0000 0.5000 (multiplicity 4)

Record 6
Computed, not measured: an optimized crystal structure of Sc2H2I at the PBE-GGA level of DFT.

Computed properties:
energy	-4.652	eV per atom
total moment	0.63	μB/f.u.

abc: 3.4924 3.4924 12.6425
angles: 90.00 90.00 90.00
Space group I4/mmm (No. 139)
Asymmetric unit:
Sc 0.0000 0.0000 0.1579 (multiplicity 4)
H 0.0000 0.5000 0.2500 (multiplicity 4)
I 0.0000 0.0000 0.5000 (multiplicity 2)